# 1
Material: SrEr2TmS4
Method: DFT, GGA-PBE
State: optimized geometry

Unit cell a=6.8434 b=3.9238 c=6.8450 alpha=90.00 beta=109.06 gamma=90.00
With the nearest neighbours (Å) after each atom.
Positions (direct):
Sr  0.0000  0.0000  0.0000  6 S 2.86-2.87
Er  0.5000  0.0000  0.5000  6 S 2.71
Er  0.5000  0.5000  0.0000  6 S 2.80
Tm  0.0000  0.5000  0.5000  6 S 2.78
S  0.2551  0.0000  0.7418  3 Er 2.71-2.80, 2 Tm 2.78, 1 Sr 2.86
S  0.2636  0.5000  0.2652  3 Er 2.71-2.80, 1 Tm 2.78, 2 Sr 2.87
S  0.7364  0.5000  0.7348  3 Er 2.71-2.80, 1 Tm 2.78, 2 Sr 2.87
S  0.7449  0.0000  0.2582  3 Er 2.71-2.80, 2 Tm 2.78, 1 Sr 2.86

Computed properties:
VASP energy: -5.92 eV per atom
formation energy from raw total energies: -15.59 eV/f.u.

# 2
Material: SrErTm2S4
Method: DFT, GGA-PBE
State: optimized geometry

Unit cell a=6.8335 b=3.9165 c=6.8363 alpha=90.00 beta=109.05 gamma=90.00
With the nearest neighbours (Å) after each atom.
Positions (direct):
Sr  0.0000  0.0000  0.0000  6 S 2.86-2.88
Er  0.5000  0.5000  0.0000  6 S 2.79-2.80
Tm  0.0000  0.5000  0.5000  6 S 2.78
Tm  0.5000  0.0000  0.5000  6 S 2.70
S  0.2558  0.0000  0.7412  3 Tm 2.70-2.78, 2 Er 2.80, 1 Sr 2.86
S  0.2649  0.5000  0.2665  3 Tm 2.70-2.78, 1 Er 2.79, 2 Sr 2.88
S  0.7351  0.5000  0.7335  3 Tm 2.70-2.78, 1 Er 2.79, 2 Sr 2.88
S  0.7442  0.0000  0.2588  3 Tm 2.70-2.78, 2 Er 2.80, 1 Sr 2.86

Computed properties:
VASP energy: -5.91 eV per atom
formation energy from raw total energies: -15.57 eV/f.u.